Entry 1:
A relaxed structure of CaInHgI6. Source: Alexandria, functional PBE-GGA.

Cell: 7.2519 7.7416 7.7462 Å, 60.03 89.96 89.89°
Space group P1 (No. 1)
One atom of each set of equivalent atoms:
Ca 0.0000 0.0000 0.0000 (multiplicity 1)
In 0.0001 0.6666 0.6669 (multiplicity 1)
Hg 0.5012 0.3334 0.3332 (multiplicity 1)
I 0.2394 0.9762 0.6736 (multiplicity 1)
I 0.2397 0.3497 0.9763 (multiplicity 1)
I 0.2395 0.6732 0.3501 (multiplicity 1)
I 0.7601 0.3503 0.6741 (multiplicity 1)
I 0.7598 0.6747 0.9756 (multiplicity 1)
I 0.7599 0.9760 0.3500 (multiplicity 1)

Properties
For the total magnetization, the calculation gives 0.0 Bohr magnetons per cell.

Entry 2:
A relaxed structure of K2CaHgI6. Source: Alexandria, functional PBE-GGA.

Cell: 8.4816 8.4816 20.9746 Å, 90.00 90.00 120.00°
Space group R3 (No. 146, hexagonal axes)
One atom of each set of equivalent atoms:
K 0.0000 0.0000 0.0000 (multiplicity 3)
K 0.0000 0.0000 0.4981 (multiplicity 3)
Ca 0.0000 0.0000 0.7155 (multiplicity 3)
Hg 0.0000 0.0000 0.2168 (multiplicity 3)
I 0.0711 0.3366 0.2909 (multiplicity 9)
I 0.0758 0.7295 0.7924 (multiplicity 9)

Properties
For the total magnetization, the calculation gives 0.0 Bohr magnetons per cell.

Entry 3:
A relaxed structure of Li2CaHgI. Source: Alexandria, functional PBE-GGA.

Cell: 6.3928 6.3928 5.9499 Å, 90.00 90.00 90.00°
Space group P4/mmm (No. 123)
One atom of each set of equivalent atoms:
Li 0.0000 0.5000 0.0000 (multiplicity 2)
Ca 0.0000 0.0000 0.0000 (multiplicity 1)
Hg 0.5000 0.5000 0.5000 (multiplicity 1)
I 0.0000 0.0000 0.5000 (multiplicity 1)

Properties
For the total magnetization, the calculation gives 0.0 Bohr magnetons per cell.

Entry 4:
A relaxed structure of LiCaHgI. Source: Alexandria, functional PBE-GGA.

Cell: 7.6829 7.6829 7.6829 Å, 90.00 90.00 90.00°
Space group F-43m (No. 216)
One atom of each set of equivalent atoms:
Li 0.0000 0.0000 0.0000 (multiplicity 4)
Ca 0.0000 0.0000 0.5000 (multiplicity 4)
Hg 0.2500 0.2500 0.2500 (multiplicity 4)
I 0.2500 0.2500 0.7500 (multiplicity 4)

Properties
For the total magnetization, the calculation gives 0.0 Bohr magnetons per cell.

Entry 5:
A relaxed structure of Na2CaHgI6. Source: Alexandria, functional PBE-GGA.

Cell: 7.9793 7.9853 8.4732 Å, 61.92 61.96 60.03°
Space group P1 (No. 1)
One atom of each set of equivalent atoms:
Na 0.0000 0.0000 0.0000 (multiplicity 1)
Na 0.4965 0.4970 0.5100 (multiplicity 1)
Ca 0.8039 0.8044 0.5876 (multiplicity 1)
Hg 0.3006 0.3012 0.0970 (multiplicity 1)
I 0.0836 0.4124 0.8097 (multiplicity 1)
I 0.2011 0.9188 0.3031 (multiplicity 1)
I 0.4123 0.6946 0.8096 (multiplicity 1)
I 0.5768 0.2017 0.3028 (multiplicity 1)
I 0.6943 0.0839 0.8093 (multiplicity 1)
I 0.9184 0.5774 0.3031 (multiplicity 1)

Properties
For the total magnetization, the calculation gives 0.0 Bohr magnetons per cell.

Entry 6:
A relaxed structure of CaNpHgI6. Source: Alexandria, functional PBE-GGA.

Cell: 7.8055 7.8055 18.9799 Å, 90.00 90.00 120.00°
Space group P-31c (No. 163)
One atom of each set of equivalent atoms:
Ca 0.3333 0.6667 0.2500 (multiplicity 2)
Np 0.3333 0.6667 0.7500 (multiplicity 2)
Hg 0.0000 0.0000 0.0000 (multiplicity 2)
I 0.0132 0.3600 0.6570 (multiplicity 12)

Properties
For the total magnetization, the calculation gives 6.0 Bohr magnetons per cell.

Entry 7:
A relaxed structure of CaHgI2O8. Source: Alexandria, functional PBE-GGA.

Cell: 7.5473 7.5473 6.9818 Å, 90.00 90.00 90.00°
Space group I-4m2 (No. 119)
One atom of each set of equivalent atoms:
Ca 0.0000 0.0000 0.0000 (multiplicity 2)
Hg 0.0000 0.5000 0.2500 (multiplicity 2)
I 0.0000 0.0000 0.5000 (multiplicity 2)
I 0.0000 0.5000 0.7500 (multiplicity 2)
O 0.0000 0.1875 0.3154 (multiplicity 8)
O 0.0000 0.3124 0.9185 (multiplicity 8)

Properties
For the total magnetization, the calculation gives 0.3 Bohr magnetons per cell.

Entry 8:
A relaxed structure of Ca2Hg2IO6. Source: Alexandria, functional PBE-GGA.

Cell: 5.7755 10.2027 7.2378 Å, 90.00 97.44 90.00°
Space group C2/m (No. 12)
One atom of each set of equivalent atoms:
Ca 0.0000 0.1658 0.0000 (multiplicity 4)
Hg 0.0000 0.2736 0.5000 (multiplicity 4)
I 0.0000 0.5000 0.0000 (multiplicity 2)
O 0.1122 0.3623 0.8515 (multiplicity 8)
O 0.1997 0.0000 0.8568 (multiplicity 4)

Properties
For the total magnetization, the calculation gives 0.0 Bohr magnetons per cell.

Entry 9:
A relaxed structure of CaHg2IO6. Source: Alexandria, functional PBE-GGA.

Cell: 5.8143 5.8143 14.8516 Å, 90.00 90.00 120.00°
Space group R-3 (No. 148, hexagonal axes)
One atom of each set of equivalent atoms:
Ca 0.0000 0.0000 0.0000 (multiplicity 3)
Hg 0.0000 0.0000 0.2486 (multiplicity 6)
I 0.0000 0.0000 0.5000 (multiplicity 3)
O 0.0345 0.7364 0.5775 (multiplicity 18)

Properties
For the total magnetization, the calculation gives 0.0 Bohr magnetons per cell.

Entry 10:
A relaxed structure of Rb2CaHgI6. Source: Alexandria, functional PBE-GGA.

Cell: 8.6662 8.6662 20.6296 Å, 90.00 90.00 120.00°
Space group R3 (No. 146, hexagonal axes)
One atom of each set of equivalent atoms:
Rb 0.0000 0.0000 0.0000 (multiplicity 3)
Rb 0.0000 0.0000 0.4973 (multiplicity 3)
Ca 0.0000 0.0000 0.7328 (multiplicity 3)
Hg 0.0000 0.0000 0.2334 (multiplicity 3)
I 0.0010 0.4225 0.9782 (multiplicity 9)
I 0.0938 0.7503 0.8123 (multiplicity 9)

Properties
For the total magnetization, the calculation gives 0.0 Bohr magnetons per cell.

Entry 11:
A relaxed structure of SrCaHgI. Source: Alexandria, functional PBE-GGA.

Cell: 8.1117 8.1117 8.1117 Å, 90.00 90.00 90.00°
Space group F-43m (No. 216)
One atom of each set of equivalent atoms:
Sr 0.0000 0.0000 0.0000 (multiplicity 4)
Ca 0.0000 0.0000 0.5000 (multiplicity 4)
Hg 0.2500 0.2500 0.7500 (multiplicity 4)
I 0.2500 0.2500 0.2500 (multiplicity 4)

Properties
For the total magnetization, the calculation gives 0.0 Bohr magnetons per cell.

Entry 12:
A relaxed structure of SrCaHgI2. Source: Alexandria, functional PBE-GGA.

Cell: 6.3115 6.3115 7.7790 Å, 90.00 90.00 90.00°
Space group P4/mmm (No. 123)
One atom of each set of equivalent atoms:
Sr 0.0000 0.0000 0.0000 (multiplicity 1)
Ca 0.0000 0.0000 0.5000 (multiplicity 1)
Hg 0.5000 0.5000 0.5000 (multiplicity 1)
I 0.0000 0.5000 0.0000 (multiplicity 2)

Properties
For the total magnetization, the calculation gives 0.0 Bohr magnetons per cell.

| no. | ΔE_f (raw) (eV per formula unit) |
| --- | --- |
| 1 | -6.43 |
| 2 | -11.00 |
| 3 | 0.38 |
| 4 | -1.84 |
| 5 | -10.12 |
| 6 | -8.62 |
| 7 | -6.96 |
| 8 | -14.05 |
| 9 | -8.25 |
| 10 | -11.13 |
| 11 | -2.30 |
| 12 | -2.78 |